## w
{
  "formula": "LiGdRu",
  "functional": "PBE-GGA",
  "state": "relaxed",
  "lattice": [[-1.962, 1.720, 2.305], [-2.875, -1.205, -1.549], [2.461, -3.872, 2.356]],
  "species": ["Ru", "Gd", "Li"],
  "fractional_positions": [[0.270, 0.270, 0.540], [0.940, 0.940, 0.881], [0.640, 0.640, 0.279]],
  "crystal_system": "tetragonal",
  "n_ef_per_ev_cell": 0.86,
  "rho_g_cm3": 8.0
}

---

## x
{
  "formula": "LiGdRu",
  "functional": "PBE-GGA",
  "state": "relaxed",
  "lattice": [[3.412, 0.000, 0.000], [0.000, 4.349, 0.000], [0.000, -2.175, 3.767]],
  "species": ["Ru", "Gd", "Li"],
  "fractional_positions": [[0.169, 0.000, 0.000], [0.666, 0.333, 0.667], [0.165, 0.667, 0.333]],
  "crystal_system": "trigonal",
  "n_ef_per_ev_cell": 1.33,
  "rho_g_cm3": 7.9
}

---

Decreasing stability: w, x

---

## w
{
  "formula": "LiGdSb",
  "functional": "PBE-GGA",
  "state": "relaxed",
  "lattice": [[4.137, 0.000, 0.000], [0.000, 4.477, 0.000], [0.000, -2.238, 3.877]],
  "species": ["Sb", "Gd", "Li"],
  "fractional_positions": [[0.166, 0.333, 0.667], [0.667, 0.667, 0.333], [0.167, 0.000, 0.000]],
  "crystal_system": "hexagonal",
  "n_ef_per_ev_cell": 3.73,
  "rho_g_cm3": 6.6
}

---

## x
{
  "formula": "LiGdSb",
  "functional": "PBE-GGA",
  "state": "relaxed",
  "lattice": [[4.962, 0.000, 0.000], [2.481, 4.297, 0.000], [2.481, 1.432, 4.052]],
  "species": ["Sb", "Gd", "Li"],
  "fractional_positions": [[0.250, 0.250, 0.250], [0.000, 0.000, 0.000], [0.500, 0.500, 0.500]],
  "crystal_system": "cubic",
  "n_ef_per_ev_cell": 4.80,
  "rho_g_cm3": 5.5
}

---

## y
{
  "formula": "LiGdSb",
  "functional": "PBE-GGA",
  "state": "relaxed",
  "lattice": [[4.167, 0.000, 0.000], [0.000, 4.167, 0.000], [-2.083, -2.083, 4.418]],
  "species": ["Sb", "Gd", "Li"],
  "fractional_positions": [[0.963, 0.963, 0.925], [0.611, 0.611, 0.223], [0.276, 0.276, 0.552]],
  "crystal_system": "tetragonal",
  "n_ef_per_ev_cell": 4.40,
  "rho_g_cm3": 6.2
}

---

Decreasing stability: w, x, y

---

## w
{
  "formula": "LiSm2Gd",
  "functional": "PBE-GGA",
  "state": "relaxed",
  "lattice": [[3.499, 0.000, 0.000], [1.750, 3.031, 0.000], [1.750, 1.010, 12.334]],
  "species": ["Gd", "Sm", "Sm", "Li"],
  "fractional_positions": [[0.500, 0.500, 0.500], [0.089, 0.089, 0.734], [0.911, 0.911, 0.266], [0.000, 0.000, 0.000]],
  "crystal_system": "trigonal",
  "n_ef_per_ev_cell": 5.69,
  "rho_g_cm3": 5.9
}

---

## x
{
  "formula": "LiSm2Gd",
  "functional": "PBE-GGA",
  "state": "relaxed",
  "lattice": [[3.647, 0.000, 0.000], [0.000, 3.647, 0.000], [0.000, 0.000, 9.037]],
  "species": ["Gd", "Sm", "Sm", "Li"],
  "fractional_positions": [[0.500, 0.500, 0.500], [0.000, 0.000, 0.775], [0.000, 0.000, 0.225], [0.500, 0.500, 0.000]],
  "crystal_system": "tetragonal",
  "n_ef_per_ev_cell": 6.36,
  "rho_g_cm3": 6.4
}

---

## y
{
  "formula": "LiSm2Gd",
  "functional": "PBE-GGA",
  "state": "relaxed",
  "lattice": [[3.751, 0.000, 0.000], [0.000, 5.701, 0.000], [0.000, 0.000, 5.701]],
  "species": ["Gd", "Sm", "Sm", "Li"],
  "fractional_positions": [[0.500, 0.500, 0.500], [0.000, 0.000, 0.500], [0.000, 0.500, 0.000], [0.500, 0.000, 0.000]],
  "crystal_system": "tetragonal",
  "n_ef_per_ev_cell": 5.72,
  "rho_g_cm3": 6.3
}

---

Decreasing stability: x, y, w

---

## w
{
  "formula": "LiSmGd",
  "functional": "PBE-GGA",
  "state": "relaxed",
  "lattice": [[3.529, 0.000, 0.000], [-1.764, 3.056, 0.000], [0.000, 0.000, 8.397]],
  "species": ["Gd", "Sm", "Li"],
  "fractional_positions": [[0.667, 0.333, 0.329], [0.333, 0.667, 0.670], [0.000, 0.000, 0.001]],
  "crystal_system": "trigonal",
  "n_ef_per_ev_cell": 3.63,
  "rho_g_cm3": 5.8
}

---

## x
{
  "formula": "LiSmGd",
  "functional": "PBE-GGA",
  "state": "relaxed",
  "lattice": [[-1.095, -2.059, -2.855], [-0.655, -2.819, 2.283], [-5.104, 4.488, 1.101]],
  "species": ["Gd", "Sm", "Li"],
  "fractional_positions": [[0.011, 0.011, 0.022], [0.323, 0.323, 0.645], [0.666, 0.666, 0.333]],
  "crystal_system": "tetragonal",
  "n_ef_per_ev_cell": 3.88,
  "rho_g_cm3": 6.0
}

---

Decreasing stability: x, w

---

## w
{
  "formula": "LiTbGd2",
  "functional": "PBE-GGA",
  "state": "relaxed",
  "lattice": [[3.481, 0.000, 0.000], [1.740, 3.014, 0.000], [1.740, 1.005, 12.136]],
  "species": ["Gd", "Gd", "Tb", "Li"],
  "fractional_positions": [[0.088, 0.088, 0.735], [0.912, 0.912, 0.265], [0.500, 0.500, 0.500], [0.000, 0.000, 0.000]],
  "crystal_system": "trigonal",
  "n_ef_per_ev_cell": 4.67,
  "rho_g_cm3": 6.3
}

---

## x
{
  "formula": "LiTbGd2",
  "functional": "PBE-GGA",
  "state": "relaxed",
  "lattice": [[3.709, 0.000, 0.000], [0.000, 5.653, 0.000], [0.000, 0.000, 5.653]],
  "species": ["Gd", "Gd", "Tb", "Li"],
  "fractional_positions": [[0.000, 0.000, 0.500], [0.000, 0.500, 0.000], [0.500, 0.500, 0.500], [0.500, 0.000, 0.000]],
  "crystal_system": "tetragonal",
  "n_ef_per_ev_cell": 6.03,
  "rho_g_cm3": 6.7
}

---

## y
{
  "formula": "LiTbGd2",
  "functional": "PBE-GGA",
  "state": "relaxed",
  "lattice": [[-3.556, 0.696, 0.314], [-0.425, -3.046, 1.941], [1.537, 4.509, 7.414]],
  "species": ["Gd", "Gd", "Tb", "Li"],
  "fractional_positions": [[0.000, 0.000, 0.777], [0.000, 0.000, 0.223], [0.500, 0.500, 0.500], [0.500, 0.500, 0.000]],
  "crystal_system": "tetragonal",
  "n_ef_per_ev_cell": 5.95,
  "rho_g_cm3": 6.8
}

---

## z
{
  "formula": "LiTbGd2",
  "functional": "PBE-GGA",
  "state": "relaxed",
  "lattice": [[-4.638, -2.828, -0.970], [-0.825, -2.340, -4.929], [0.172, -5.492, -0.510]],
  "species": ["Gd", "Gd", "Tb", "Li"],
  "fractional_positions": [[0.250, 0.250, 0.250], [0.750, 0.750, 0.750], [0.500, 0.500, 0.500], [0.000, 0.000, 0.000]],
  "crystal_system": "cubic",
  "n_ef_per_ev_cell": 4.37,
  "rho_g_cm3": 6.7
}

---

Decreasing stability: y, x, w, z

---

## w
{
  "formula": "Li2TbGd",
  "functional": "PBE-GGA",
  "state": "relaxed",
  "lattice": [[-0.316, 4.505, 2.712], [-4.577, 2.592, 0.276], [-2.667, 0.160, 4.539]],
  "species": ["Gd", "Tb", "Li", "Li"],
  "fractional_positions": [[0.500, 0.500, 0.500], [0.000, 0.000, 0.000], [0.250, 0.250, 0.250], [0.750, 0.750, 0.750]],
  "crystal_system": "cubic",
  "n_ef_per_ev_cell": 4.49,
  "rho_g_cm3": 5.3
}

---

## x
{
  "formula": "Li2TbGd",
  "functional": "PBE-GGA",
  "state": "relaxed",
  "lattice": [[-1.817, -2.334, 2.276], [2.951, -3.994, -1.739], [3.523, 0.952, 3.790]],
  "species": ["Gd", "Tb", "Li", "Li"],
  "fractional_positions": [[0.500, 0.500, 0.500], [0.500, 0.000, 0.000], [0.000, 0.000, 0.500], [0.000, 0.500, 0.000]],
  "crystal_system": "tetragonal",
  "n_ef_per_ev_cell": 4.71,
  "rho_g_cm3": 5.3
}

---

Decreasing stability: x, w

---

## w
{
  "formula": "LiTb2Gd",
  "functional": "PBE-GGA",
  "state": "relaxed",
  "lattice": [[5.499, 0.000, 0.000], [2.749, 4.762, 0.000], [2.749, 1.587, 4.490]],
  "species": ["Gd", "Tb", "Tb", "Li"],
  "fractional_positions": [[0.000, 0.000, 0.000], [0.250, 0.250, 0.250], [0.750, 0.750, 0.750], [0.500, 0.500, 0.500]],
  "crystal_system": "cubic",
  "n_ef_per_ev_cell": 4.46,
  "rho_g_cm3": 6.8
}

---

## x
{
  "formula": "LiTb2Gd",
  "functional": "PBE-GGA",
  "state": "relaxed",
  "lattice": [[3.617, 0.000, 0.000], [0.000, 3.617, 0.000], [0.000, 0.000, 8.859]],
  "species": ["Gd", "Tb", "Tb", "Li"],
  "fractional_positions": [[0.500, 0.500, 0.500], [0.000, 0.000, 0.778], [0.000, 0.000, 0.222], [0.500, 0.500, 0.000]],
  "crystal_system": "tetragonal",
  "n_ef_per_ev_cell": 6.33,
  "rho_g_cm3": 6.9
}

---

## y
{
  "formula": "LiTb2Gd",
  "functional": "PBE-GGA",
  "state": "relaxed",
  "lattice": [[-0.703, -2.117, 2.992], [5.183, -2.152, -0.305], [1.898, 4.098, 3.346]],
  "species": ["Gd", "Tb", "Tb", "Li"],
  "fractional_positions": [[0.500, 0.500, 0.500], [0.000, 0.000, 0.500], [0.000, 0.500, 0.000], [0.500, 0.000, 0.000]],
  "crystal_system": "tetragonal",
  "n_ef_per_ev_cell": 5.77,
  "rho_g_cm3": 6.8
}

---

Decreasing stability: x, y, w

---

## w
{
  "formula": "LiTbGd",
  "functional": "PBE-GGA",
  "state": "relaxed",
  "lattice": [[3.493, 0.000, 0.000], [-1.746, 3.025, 0.000], [0.000, 0.000, 8.354]],
  "species": ["Gd", "Tb", "Li"],
  "fractional_positions": [[0.667, 0.333, 0.331], [0.333, 0.667, 0.670], [0.000, 0.000, 0.999]],
  "crystal_system": "trigonal",
  "n_ef_per_ev_cell": 3.72,
  "rho_g_cm3": 6.1
}

---

## x
{
  "formula": "LiTbGd",
  "functional": "PBE-GGA",
  "state": "relaxed",
  "lattice": [[-0.374, -3.497, -1.031], [0.621, -1.082, 3.446], [-6.301, 2.594, 0.002]],
  "species": ["Gd", "Tb", "Li"],
  "fractional_positions": [[0.323, 0.323, 0.646], [0.012, 0.012, 0.023], [0.665, 0.665, 0.331]],
  "crystal_system": "tetragonal",
  "n_ef_per_ev_cell": 3.83,
  "rho_g_cm3": 6.3
}

---

Decreasing stability: x, w

---

## w
{
  "formula": "LiGdTe",
  "functional": "PBE-GGA",
  "state": "relaxed",
  "lattice": [[4.071, 0.000, 0.000], [0.000, 4.447, 0.000], [0.000, -2.223, 3.851]],
  "species": ["Gd", "Te", "Li"],
  "fractional_positions": [[0.667, 0.667, 0.333], [0.167, 0.333, 0.667], [0.167, 0.000, 0.000]],
  "crystal_system": "hexagonal",
  "n_ef_per_ev_cell": 2.84,
  "rho_g_cm3": 6.9
}

---

## x
{
  "formula": "LiGdTe",
  "functional": "PBE-GGA",
  "state": "relaxed",
  "lattice": [[3.812, 0.000, 0.000], [0.000, 3.812, 0.000], [-1.906, -1.906, 5.216]],
  "species": ["Gd", "Te", "Li"],
  "fractional_positions": [[0.943, 0.943, 0.886], [0.262, 0.262, 0.524], [0.645, 0.645, 0.291]],
  "crystal_system": "tetragonal",
  "n_ef_per_ev_cell": 4.15,
  "rho_g_cm3": 6.4
}

---

Decreasing stability: w, x

---

## w
{
  "formula": "LiGd2Th",
  "functional": "PBE-GGA",
  "state": "relaxed",
  "lattice": [[3.586, 0.000, 0.000], [0.000, 5.794, 0.000], [0.000, 0.000, 5.794]],
  "species": ["Gd", "Gd", "Th", "Li"],
  "fractional_positions": [[0.000, 0.000, 0.500], [0.000, 0.500, 0.000], [0.500, 0.500, 0.500], [0.500, 0.000, 0.000]],
  "crystal_system": "tetragonal",
  "n_ef_per_ev_cell": 6.45,
  "rho_g_cm3": 7.6
}

---

## x
{
  "formula": "LiGd2Th",
  "functional": "PBE-GGA",
  "state": "relaxed",
  "lattice": [[-0.956, 0.094, 3.497], [3.372, -0.943, 0.947], [2.285, 8.569, 0.395]],
  "species": ["Gd", "Gd", "Th", "Li"],
  "fractional_positions": [[0.000, 0.000, 0.765], [0.000, 0.000, 0.235], [0.500, 0.500, 0.500], [0.500, 0.500, 0.000]],
  "crystal_system": "tetragonal",
  "n_ef_per_ev_cell": 5.04,
  "rho_g_cm3": 7.9
}

---

Decreasing stability: x, w

---

## w
{
  "formula": "LiGd2Ti",
  "functional": "PBE-GGA",
  "state": "relaxed",
  "lattice": [[-2.323, 2.175, 1.112], [-1.140, -2.322, 2.161], [5.750, 2.962, 6.215]],
  "species": ["Gd", "Gd", "Li", "Ti"],
  "fractional_positions": [[0.000, 0.000, 0.767], [0.000, 0.000, 0.233], [0.500, 0.500, 0.500], [0.500, 0.500, 0.000]],
  "crystal_system": "tetragonal",
  "n_ef_per_ev_cell": 4.80,
  "rho_g_cm3": 6.0
}

---

## x
{
  "formula": "LiGd2Ti",
  "functional": "PBE-GGA",
  "state": "relaxed",
  "lattice": [[3.209, 0.000, 0.000], [1.605, 2.779, 0.000], [1.605, 0.926, 11.526]],
  "species": ["Gd", "Gd", "Li", "Ti"],
  "fractional_positions": [[0.084, 0.084, 0.748], [0.916, 0.916, 0.252], [0.500, 0.500, 0.500], [0.000, 0.000, 0.000]],
  "crystal_system": "trigonal",
  "n_ef_per_ev_cell": 5.00,
  "rho_g_cm3": 6.0
}

---

## y
{
  "formula": "LiGd2Ti",
  "functional": "PBE-GGA",
  "state": "relaxed",
  "lattice": [[3.406, 0.000, 0.000], [0.000, 5.370, 0.000], [0.000, 0.000, 5.370]],
  "species": ["Gd", "Gd", "Li", "Ti"],
  "fractional_positions": [[0.000, 0.000, 0.500], [0.000, 0.500, 0.000], [0.500, 0.500, 0.500], [0.500, 0.000, 0.000]],
  "crystal_system": "tetragonal",
  "n_ef_per_ev_cell": 5.64,
  "rho_g_cm3": 6.2
}

---

Decreasing stability: w, y, x

---

## w
{
  "formula": "LiGdTm",
  "functional": "PBE-GGA",
  "state": "relaxed",
  "lattice": [[-0.178, -1.200, 3.233], [1.019, -2.081, -2.560], [7.890, 2.287, 1.283]],
  "species": ["Gd", "Tm", "Li"],
  "fractional_positions": [[0.667, 0.333, 0.333], [0.333, 0.667, 0.670], [0.000, 0.000, 0.997]],
  "crystal_system": "trigonal",
  "n_ef_per_ev_cell": 3.82,
  "rho_g_cm3": 6.4
}

---

## x
{
  "formula": "LiGdTm",
  "functional": "PBE-GGA",
  "state": "relaxed",
  "lattice": [[-2.674, 1.686, 1.813], [-1.747, -3.176, 0.376], [5.195, -0.265, 4.245]],
  "species": ["Gd", "Tm", "Li"],
  "fractional_positions": [[0.324, 0.324, 0.648], [0.013, 0.013, 0.026], [0.663, 0.663, 0.326]],
  "crystal_system": "tetragonal",
  "n_ef_per_ev_cell": 3.71,
  "rho_g_cm3": 6.7
}

---

Decreasing stability: x, w